No. 1
Below is a relaxed Sm9Dy4Tm11 crystal, with properties calculated at the GGA-PBE level.

Properties
ΔE_f	1.2	eV/f.u.
Fermi-level density of states	30.9	states/eV/f.u.
size of the total moment	0.00	μB per formula unit

```
data_Sm9Dy4Tm11
_chemical_formula_sum 'Sm18 Dy8 Tm22'
_space_group_name_H-M_alt 'C m m m'
_space_group_IT_number 65
_space_group_name_Hall '-C 2 2'
_cell_length_a 16.5878
_cell_length_b 25.1441
_cell_length_c 3.6843
_cell_angle_alpha 90.00
_cell_angle_beta 90.00
_cell_angle_gamma 90.00
loop_
_atom_site_label
_atom_site_type_symbol
_atom_site_fract_x
_atom_site_fract_y
_atom_site_fract_z
_atom_site_occupancy
Sm1 Sm 0.0000 0.0000 0.0000 1
Sm2 Sm 0.1035 0.2339 0.0000 1
Sm3 Sm 0.1396 0.4265 0.0000 1
Dy1 Dy 0.1548 0.1003 0.0000 1
Tm1 Tm 0.0000 0.1338 0.5000 1
Tm2 Tm 0.0000 0.3393 0.5000 1
Tm3 Tm 0.0000 0.5000 0.5000 1
Tm4 Tm 0.2108 0.0000 0.5000 1
Tm5 Tm 0.2257 0.3195 0.5000 1
```

=====

No. 2
Below is a relaxed Rb2SF crystal, with properties calculated at the GGA-PBE level.

Properties
Fermi-level density of states	0.9	states/eV/f.u.
size of the total moment	0.49	μB per formula unit
raw formation energy	-1.502	eV per atom
relative energy among the computed polymorphs	0.0000	eV per atom

```
data_Rb2SF
_chemical_formula_sum 'Rb2 S1 F1'
_space_group_name_H-M_alt 'P 4/m m m'
_space_group_IT_number 123
_space_group_name_Hall '-P 4 2'
_cell_length_a 3.5187
_cell_length_b 3.5187
_cell_length_c 8.0938
_cell_angle_alpha 90.00
_cell_angle_beta 90.00
_cell_angle_gamma 90.00
loop_
_atom_site_label
_atom_site_type_symbol
_atom_site_fract_x
_atom_site_fract_y
_atom_site_fract_z
_atom_site_occupancy
Rb1 Rb 0.0000 0.0000 0.2108 1
S1 S 0.5000 0.5000 0.5000 1
F1 F 0.5000 0.5000 0.0000 1
```

=====

No. 3
Below is a relaxed CsNa2IO crystal, with properties calculated at the GGA-PBE level.

Properties
Fermi-level density of states	0.3	states/eV/f.u.
size of the total moment	0.00	μB per formula unit
raw formation energy	-1.109	eV per atom

```
data_CsNa2IO
_chemical_formula_sum 'Cs1 Na2 I1 O1'
_space_group_name_H-M_alt 'P 4/m m m'
_space_group_IT_number 123
_space_group_name_Hall '-P 4 2'
_cell_length_a 5.0359
_cell_length_b 5.0359
_cell_length_c 5.9406
_cell_angle_alpha 90.00
_cell_angle_beta 90.00
_cell_angle_gamma 90.00
loop_
_atom_site_label
_atom_site_type_symbol
_atom_site_fract_x
_atom_site_fract_y
_atom_site_fract_z
_atom_site_occupancy
Cs1 Cs 0.0000 0.0000 0.0000 1
Na1 Na 0.0000 0.5000 0.5000 1
I1 I 0.5000 0.5000 0.0000 1
O1 O 0.0000 0.0000 0.5000 1
```

=====

No. 4
Below is a relaxed BaTa2Cu crystal, with properties calculated at the GGA-PBE level.

Properties
ΔE_f	4.9	eV/f.u.
Fermi-level density of states	6.6	states/eV/f.u.
size of the total moment	0.00	μB per formula unit
relative energy among the computed polymorphs	0.7229	eV per atom

```
data_BaTa2Cu
_chemical_formula_sum 'Ba4 Ta8 Cu4'
_space_group_name_H-M_alt 'I 41/a m d'
_space_group_IT_number 141
_cell_length_a 5.0089
_cell_length_b 5.0089
_cell_length_c 18.8569
_cell_angle_alpha 90.00
_cell_angle_beta 90.00
_cell_angle_gamma 90.00
loop_
_space_group_symop_operation_xyz
'x,y,z'
'-x,-y,-z'
'-y+1/4,x+3/4,z+1/4'
'y+1/4,-x+3/4,-z+1/4'
'-x+1/2,-y,z+1/2'
'x+1/2,y,-z+1/2'
'y+1/4,-x+1/4,z+3/4'
'-y+1/4,x+1/4,-z+3/4'
'x,-y,-z'
'-x,y,z'
'-y+1/4,-x+1/4,-z+3/4'
'y+1/4,x+1/4,z+3/4'
'-x+1/2,y,-z+1/2'
'x+1/2,-y,z+1/2'
'y+1/4,x+3/4,-z+1/4'
'-y+1/4,-x+3/4,z+1/4'
'x+1/2,y+1/2,z+1/2'
'-x+1/2,-y+1/2,-z+1/2'
'-y+3/4,x+1/4,z+3/4'
'y+3/4,-x+1/4,-z+3/4'
'-x,-y+1/2,z'
'x,y+1/2,-z'
'y+3/4,-x+3/4,z+1/4'
'-y+3/4,x+3/4,-z+1/4'
'x+1/2,-y+1/2,-z+1/2'
'-x+1/2,y+1/2,z+1/2'
'-y+3/4,-x+3/4,-z+1/4'
'y+3/4,x+3/4,z+1/4'
'-x,y+1/2,-z'
'x,-y+1/2,z'
'y+3/4,x+1/4,-z+3/4'
'-y+3/4,-x+1/4,z+3/4'
loop_
_atom_site_label
_atom_site_type_symbol
_atom_site_fract_x
_atom_site_fract_y
_atom_site_fract_z
_atom_site_occupancy
Ba1 Ba 0.0000 0.2500 0.3750 1
Ta1 Ta 0.0000 0.0000 0.0000 1
Cu1 Cu 0.0000 0.2500 0.8750 1
```

=====

No. 5
Below is a relaxed AcAl3AgPd crystal, with properties calculated at the GGA-PBE level.

Properties
ΔE_f	-2.3	eV/f.u.
Fermi-level density of states	2.1	states/eV/f.u.
size of the total moment	0.00	μB per formula unit

```
data_AcAl3AgPd
_chemical_formula_sum 'Ac4 Al12 Ag4 Pd4'
_space_group_name_H-M_alt 'C m c m'
_space_group_IT_number 63
_space_group_name_Hall '-C 2c 2'
_cell_length_a 6.1142
_cell_length_b 13.9311
_cell_length_c 6.0473
_cell_angle_alpha 90.00
_cell_angle_beta 90.00
_cell_angle_gamma 90.00
loop_
_atom_site_label
_atom_site_type_symbol
_atom_site_fract_x
_atom_site_fract_y
_atom_site_fract_z
_atom_site_occupancy
Ac1 Ac 0.0000 0.2106 0.2500 1
Al1 Al 0.0000 0.3799 0.7500 1
Al2 Al 0.2178 0.0000 0.0000 1
Ag1 Ag 0.0000 0.1443 0.7500 1
Pd1 Pd 0.0000 0.4185 0.2500 1
```

=====

No. 6
Below is a relaxed Zr3TcS crystal, with properties calculated at the GGA-PBE level.

Properties
Fermi-level density of states	3.7	states/eV/f.u.
size of the total moment	1.40	μB per formula unit
raw formation energy	-0.102	eV per atom
relative energy among the computed polymorphs	0.0000	eV per atom

```
data_Zr3TcS
_chemical_formula_sum 'Zr3 Tc1 S1'
_space_group_name_H-M_alt 'P m -3 m'
_space_group_IT_number 221
_space_group_name_Hall '-P 4 2 3'
_cell_length_a 4.7586
_cell_length_b 4.7586
_cell_length_c 4.7586
_cell_angle_alpha 90.00
_cell_angle_beta 90.00
_cell_angle_gamma 90.00
loop_
_atom_site_label
_atom_site_type_symbol
_atom_site_fract_x
_atom_site_fract_y
_atom_site_fract_z
_atom_site_occupancy
Zr1 Zr 0.0000 0.0000 0.5000 1
Tc1 Tc 0.5000 0.5000 0.5000 1
S1 S 0.0000 0.0000 0.0000 1
```

=====

No. 7
Below is a relaxed SiTcRuC crystal, with properties calculated at the GGA-PBE level.

Properties
Fermi-level density of states	3.7	states/eV/f.u.
size of the total moment	0.00	μB per formula unit
raw formation energy	0.033	eV per atom
relative energy among the computed polymorphs	0.0565	eV per atom

```
data_SiTcRuC
_chemical_formula_sum 'Si1 Tc1 Ru1 C1'
_space_group_name_H-M_alt 'P 3 m 1'
_space_group_IT_number 156
_space_group_name_Hall 'P 3 -2"'
_cell_length_a 2.8741
_cell_length_b 2.8741
_cell_length_c 6.5864
_cell_angle_alpha 90.00
_cell_angle_beta 90.00
_cell_angle_gamma 120.00
loop_
_atom_site_label
_atom_site_type_symbol
_atom_site_fract_x
_atom_site_fract_y
_atom_site_fract_z
_atom_site_occupancy
Si1 Si 0.0000 0.0000 0.0000 1
Tc1 Tc 0.6667 0.3333 0.7069 1
Ru1 Ru 0.6667 0.3333 0.2833 1
C1 C 0.0000 0.0000 0.5000 1
```

=====

No. 8
Below is a relaxed SrTl2Pb crystal, with properties calculated at the GGA-PBE level.

Properties
ΔE_f	-0.6	eV/f.u.
Fermi-level density of states	2.5	states/eV/f.u.
size of the total moment	0.00	μB per formula unit

```
data_SrTl2Pb
_chemical_formula_sum 'Sr4 Tl8 Pb4'
_space_group_name_H-M_alt 'I -4 2 d'
_space_group_IT_number 122
_space_group_name_Hall 'I -4 2bw'
_cell_length_a 9.0064
_cell_length_b 9.0064
_cell_length_c 6.8108
_cell_angle_alpha 90.00
_cell_angle_beta 90.00
_cell_angle_gamma 90.00
loop_
_atom_site_label
_atom_site_type_symbol
_atom_site_fract_x
_atom_site_fract_y
_atom_site_fract_z
_atom_site_occupancy
Sr1 Sr 0.0000 0.0000 0.0000 1
Tl1 Tl 0.2225 0.2500 0.6250 1
Pb1 Pb 0.0000 0.0000 0.5000 1
```

=====

No. 9
Below is a relaxed Ta3MnPt crystal, with properties calculated at the GGA-PBE level.

Properties
ΔE_f	6.7	eV/f.u.
Fermi-level density of states	5.4	states/eV/f.u.
size of the total moment	3.60	μB per formula unit
relative energy among the computed polymorphs	0.7032	eV per atom

```
data_Ta3MnPt
_chemical_formula_sum 'Ta3 Mn1 Pt1'
_space_group_name_H-M_alt 'P m -3 m'
_space_group_IT_number 221
_space_group_name_Hall '-P 4 2 3'
_cell_length_a 4.8831
_cell_length_b 4.8831
_cell_length_c 4.8831
_cell_angle_alpha 90.00
_cell_angle_beta 90.00
_cell_angle_gamma 90.00
loop_
_atom_site_label
_atom_site_type_symbol
_atom_site_fract_x
_atom_site_fract_y
_atom_site_fract_z
_atom_site_occupancy
Ta1 Ta 0.0000 0.0000 0.5000 1
Mn1 Mn 0.5000 0.5000 0.5000 1
Pt1 Pt 0.0000 0.0000 0.0000 1
```

=====

No. 10
Below is a relaxed La3SmDy2P6 crystal, with properties calculated at the GGA-PBE level.

Properties
ΔE_f	-18.9	eV/f.u.
Fermi-level density of states	1.1	states/eV/f.u.
size of the total moment	0.00	μB per formula unit

```
data_La3SmDy2P6
_chemical_formula_sum 'La6 Sm2 Dy4 P12'
_space_group_name_H-M_alt 'C 1 2/m 1'
_space_group_IT_number 12
_space_group_name_Hall '-C 2y'
_cell_length_a 7.2026
_cell_length_b 12.4749
_cell_length_c 7.2041
_cell_angle_alpha 90.00
_cell_angle_beta 109.46
_cell_angle_gamma 90.00
loop_
_atom_site_label
_atom_site_type_symbol
_atom_site_fract_x
_atom_site_fract_y
_atom_site_fract_z
_atom_site_occupancy
La1 La 0.0000 0.0000 0.0000 1
La2 La 0.0000 0.3338 0.0000 1
Sm1 Sm 0.0000 0.5000 0.5000 1
Dy1 Dy 0.0000 0.1669 0.5000 1
P1 P 0.2426 0.0000 0.7379 1
P2 P 0.2478 0.3317 0.7384 1
```

=====

No. 11
Below is a relaxed Na4Cd3H2C4O14 crystal, with properties calculated at the GGA-PBE level.

Properties
Fermi-level density of states	0.0	states/eV/f.u.
size of the total moment	0.00	μB per formula unit
DFT total energy	-5.96	eV per atom

```
data_Na4Cd3H2C4O14
_chemical_formula_sum 'Na8 Cd6 H4 C8 O28'
_space_group_name_H-M_alt 'P 1 21/c 1'
_space_group_IT_number 14
_space_group_name_Hall '-P 2ybc'
_cell_length_a 9.4800
_cell_length_b 3.5032
_cell_length_c 19.4010
_cell_angle_alpha 90.00
_cell_angle_beta 99.15
_cell_angle_gamma 90.00
loop_
_atom_site_label
_atom_site_type_symbol
_atom_site_fract_x
_atom_site_fract_y
_atom_site_fract_z
_atom_site_occupancy
Na1 Na 0.0447 0.0373 0.3259 1
Na2 Na 0.1445 0.2479 0.5503 1
Cd1 Cd 0.4197 0.0348 0.8204 1
Cd2 Cd 0.5000 0.0000 0.5000 1
H1 H 0.3833 0.5447 0.1200 1
C1 C 0.2135 0.6028 0.4334 1
C2 C 0.2321 0.5868 0.6949 1
O1 O 0.1041 0.7392 0.9537 1
O2 O 0.1218 0.0399 0.2175 1
O3 O 0.2132 0.5384 0.3673 1
O4 O 0.2240 0.7495 0.1346 1
O5 O 0.3236 0.5074 0.4806 1
O6 O 0.3612 0.5504 0.7347 1
O7 O 0.4822 0.0274 0.6132 1
```

=====

No. 12
Below is a relaxed SmTm4Pu crystal, with properties calculated at the GGA-PBE level.

Properties
ΔE_f	4.4	eV/f.u.
Fermi-level density of states	8.9	states/eV/f.u.
size of the total moment	6.46	μB per formula unit
relative energy among the computed polymorphs	0.6863	eV per atom

```
data_SmTm4Pu
_chemical_formula_sum 'Sm4 Tm16 Pu4'
_space_group_name_H-M_alt 'I 41 m d'
_space_group_IT_number 109
_space_group_name_Hall 'I 4bw -2'
_cell_length_a 11.2615
_cell_length_b 11.2615
_cell_length_c 6.6769
_cell_angle_alpha 90.00
_cell_angle_beta 90.00
_cell_angle_gamma 90.00
loop_
_atom_site_label
_atom_site_type_symbol
_atom_site_fract_x
_atom_site_fract_y
_atom_site_fract_z
_atom_site_occupancy
Sm1 Sm 0.0000 0.0000 0.0000 1
Tm1 Tm 0.0000 0.2268 0.2746 1
Tm2 Tm 0.0000 0.2472 0.7624 1
Pu1 Pu 0.0000 0.0000 0.5285 1
```